Entry 1:
NaTaTeAuSe2 PBE-GGA optimized geometry; SG = No. 63; final energy = -0.358 Ry/atom
1.0
1.8353 -7.3843 0.0000
1.8353 7.3843 0.0000
0.0000 0.0000 10.4249
Na Ta Te Au Se
2 2 2 2 4
direct
0.2199 0.7801 0.7500
0.7801 0.2199 0.2500
0.0000 0.0000 0.0000
0.0000 0.0000 0.5000
0.0975 0.9025 0.2500
0.9025 0.0975 0.7500
0.4504 0.5496 0.2500
0.5496 0.4504 0.7500
0.3719 0.6281 0.0340
0.3719 0.6281 0.4660
0.6281 0.3719 0.5340
0.6281 0.3719 0.9660

---

Entry 2:
RbDyCoTe3 PBE-GGA optimized geometry; energy above the lowest structure with this stoichiometry = 0.000 eV/atom; SG = No. 63
1.0
2.1269 -8.2976 0.0000
2.1269 8.2976 0.0000
0.0000 0.0000 11.4507
Rb Dy Co Te
2 2 2 6
direct
0.2432 0.7568 0.7500
0.7568 0.2432 0.2500
0.5000 0.5000 0.0000
0.5000 0.5000 0.5000
0.0309 0.9691 0.2500
0.9691 0.0309 0.7500
0.1240 0.8760 0.0696
0.1240 0.8760 0.4304
0.4371 0.5629 0.2500
0.5629 0.4371 0.7500
0.8760 0.1240 0.5696
0.8760 0.1240 0.9304

---

Entry 3:
Lu4Ta2Si3N3 PBE-GGA optimized geometry; SG = No. 15; final energy = -0.586 Ry/atom
1.0
4.9189 -2.8516 0.0000
4.9189 2.8516 0.0000
-3.2798 0.0000 13.3700
Lu Ta Si N
8 4 6 6
direct
0.0369 0.1977 0.1019
0.1281 0.2999 0.3981
0.1977 0.0369 0.6019
0.2999 0.1281 0.8981
0.7001 0.8719 0.1019
0.8023 0.9631 0.3981
0.8719 0.7001 0.6019
0.9631 0.8023 0.8981
0.3575 0.5274 0.0819
0.4726 0.6425 0.4181
0.5274 0.3575 0.5819
0.6425 0.4726 0.9181
0.1595 0.8405 0.2500
0.3264 0.4154 0.7510
0.4154 0.3264 0.2510
0.5846 0.6736 0.7490
0.6736 0.5846 0.2490
0.8405 0.1595 0.7500
0.0000 0.5000 0.0000
0.1692 0.6656 0.5000
0.3344 0.8308 0.0000
0.5000 0.0000 0.5000
0.6656 0.1692 0.0000
0.8308 0.3344 0.5000

---

Entry 4:
La2DyIn3AgPd2 PBE-GGA optimized geometry; SG = No. 38; final energy = -0.343 Ry/atom
1.0
4.0222 0.0000 0.0000
0.0000 6.8276 3.9380
0.0000 -6.8276 3.9380
La Dy In Ag Pd
2 1 3 1 2
direct
0.0000 0.2072 0.7928
0.0000 0.7928 0.2072
0.0000 0.3818 0.3818
0.5000 0.0591 0.0591
0.5000 0.5324 0.7860
0.5000 0.7860 0.5324
0.0000 0.7916 0.7916
0.5000 0.1310 0.4578
0.5000 0.4578 0.1310

---

Entry 5:
Ba2ZnCdBi4 PBE-GGA optimized geometry; SG = No. 119; final energy = -0.241 Ry/atom
1.0
-2.3550 2.3550 12.1884
2.3550 -2.3550 12.1884
2.3550 2.3550 -12.1884
Ba Zn Cd Bi
2 1 1 4
direct
0.1169 0.1169 0.0000
0.8831 0.8831 0.0000
0.2500 0.7500 0.5000
0.7500 0.2500 0.5000
0.0001 0.5001 0.5000
0.3251 0.3251 0.0000
0.4999 0.9999 0.5000
0.6749 0.6749 0.0000

---

Entry 6:
TmAlCo PBE-GGA optimized geometry; SG = No. 216; final energy = -0.355 Ry/atom
1.0
0.0000 3.1078 3.1078
3.1078 0.0000 3.1078
3.1078 3.1078 0.0000
Tm Al Co
1 1 1
direct
0.0000 0.0000 0.0000
0.7500 0.7500 0.7500
0.5000 0.5000 0.5000

---

Entry 7:
LuSbPt PBE-GGA optimized geometry; SG = No. 189; final energy = -0.435 Ry/atom
1.0
7.3764 0.0000 0.0000
-3.6882 6.3881 0.0000
0.0000 0.0000 4.1143
Lu Sb Pt
3 3 3
direct
0.0000 0.6053 0.0000
0.3947 0.3947 0.0000
0.6053 0.0000 0.0000
0.0000 0.2725 0.5000
0.2725 0.0000 0.5000
0.7275 0.7275 0.5000
0.0000 0.0000 0.0000
0.3333 0.6667 0.5000
0.6667 0.3333 0.5000

---

Entry 8:
Na3Au PBE-GGA optimized geometry; SG = No. 140; final energy = -0.144 Ry/atom
1.0
-3.1945 3.1945 4.5550
3.1945 -3.1945 4.5550
3.1945 3.1945 -4.5550
Na Au
6 2
direct
0.2466 0.7466 0.9932
0.2500 0.2500 0.0000
0.2534 0.2466 0.5000
0.7466 0.7534 0.5000
0.7500 0.7500 0.0000
0.7534 0.2534 0.0068
0.2500 0.7500 0.5000
0.7500 0.2500 0.5000

---

Entry 9:
SrHf15O31 PBE-GGA optimized geometry; energy above the lowest structure with this stoichiometry = 0.000 eV/atom; SG = No. 1
1.0
6.8204 0.0000 0.0000
-0.2752 7.9285 0.0000
-0.0143 -0.0062 10.3366
Sr Hf O
1 15 31
direct
0.0000 0.0000 0.0000
0.0033 0.0118 0.5032
0.0167 0.4432 0.4623
0.0169 0.4469 0.9661
0.2490 0.7631 0.7143
0.2620 0.1965 0.2520
0.2685 0.1971 0.7563
0.2760 0.7581 0.2232
0.4931 0.5071 0.5105
0.5003 0.5150 0.0011
0.5115 0.9443 0.9622
0.5201 0.9515 0.4661
0.7465 0.2585 0.2115
0.7494 0.6761 0.2652
0.7555 0.2621 0.7152
0.7648 0.6899 0.7518
0.0393 0.6337 0.3116
0.0433 0.2643 0.1208
0.0468 0.6239 0.8205
0.0505 0.2435 0.6058
0.2059 0.6097 0.0695
0.2142 0.5853 0.5687
0.2177 0.9583 0.3608
0.2486 0.9659 0.8485
0.2939 0.3790 0.3923
0.2961 0.9782 0.1201
0.2956 0.9953 0.6004
0.2986 0.3696 0.9040
0.4519 0.6994 0.8567
0.4638 0.3438 0.1499
0.4676 0.3347 0.6488
0.4768 0.7108 0.3630
0.5430 0.1312 0.3308
0.5427 0.7400 0.6128
0.5508 0.7382 0.1196
0.5596 0.1330 0.8298
0.6930 0.0746 0.0885
0.7174 0.4615 0.3672
0.7205 0.0818 0.5748
0.7220 0.4642 0.8647
0.7633 0.8504 0.8946
0.7924 0.4998 0.1074
0.7948 0.4883 0.6041
0.8005 0.8781 0.3833
0.9654 0.8358 0.6448
0.9685 0.2124 0.3569
0.9811 0.2293 0.8454

---

Entry 10:
HoGeNO PBE-GGA optimized geometry; energy above the lowest structure with this stoichiometry = 0.535 eV/atom; SG = No. 129
1.0
3.9969 0.0000 0.0000
0.0000 3.9969 0.0000
0.0000 0.0000 7.2344
Ho Ge N O
2 2 2 2
direct
0.2500 0.2500 0.1398
0.7500 0.7500 0.8602
0.2500 0.7500 0.5000
0.7500 0.2500 0.5000
0.2500 0.2500 0.6266
0.7500 0.7500 0.3734
0.2500 0.7500 0.0000
0.7500 0.2500 0.0000

---

Entry 11:
BeCuOs PBE-GGA optimized geometry; energy above the lowest structure with this stoichiometry = 0.000 eV/atom; SG = No. 216
1.0
0.0000 2.6328 2.6328
2.6328 0.0000 2.6328
2.6328 2.6328 0.0000
Be Cu Os
1 1 1
direct
0.0000 0.0000 0.0000
0.7500 0.7500 0.7500
0.2500 0.2500 0.2500

---

Entry 12:
RbNiPt PBE-GGA optimized geometry; energy above the lowest structure with this stoichiometry = 0.000 eV/atom; SG = No. 216
1.0
0.0000 3.3136 3.3136
3.3136 0.0000 3.3136
3.3136 3.3136 0.0000
Rb Ni Pt
1 1 1
direct
0.0000 0.0000 0.0000
0.7500 0.7500 0.7500
0.5000 0.5000 0.5000

---

Entry 13:
TmSi2 PBE-GGA optimized geometry; SG = No. 227; final energy = -0.397 Ry/atom
1.0
0.0000 3.7317 3.7317
3.7317 0.0000 3.7317
3.7317 3.7317 0.0000
Tm Si
2 4
direct
0.1250 0.1250 0.1250
0.8750 0.8750 0.8750
0.0000 0.5000 0.5000
0.5000 0.0000 0.5000
0.5000 0.5000 0.0000
0.5000 0.5000 0.5000

---

Entry 14:
Gd3P2N PBE-GGA optimized geometry; SG = No. 164; final energy = -0.515 Ry/atom
1.0
3.8360 0.0000 0.0000
-1.9180 3.3220 0.0000
0.0000 0.0000 9.6277
Gd P N
3 2 1
direct
0.0000 0.0000 0.0000
0.3333 0.6667 0.3585
0.6667 0.3333 0.6415
0.3333 0.6667 0.8218
0.6667 0.3333 0.1782
0.0000 0.0000 0.5000

---

Entry 15:
LaGd2Cd3AgAu2 PBE-GGA optimized geometry; SG = No. 38; E_form = -0.5848 eV/atom
1.0
3.9236 0.0000 0.0000
0.0000 6.9226 3.9797
0.0000 -6.9226 3.9797
La Gd Cd Ag Au
1 2 3 1 2
direct
0.0000 0.0000 0.0000
0.0000 0.1842 0.5917
0.0000 0.5917 0.1842
0.5000 0.3365 0.3365
0.5000 0.5885 0.8523
0.5000 0.8523 0.5885
0.0000 0.5902 0.5902
0.5000 0.2646 0.9247
0.5000 0.9247 0.2646

---

Entry 16:
GdHf PBE-GGA optimized geometry; energy above the lowest structure with this stoichiometry = 0.924 eV/atom; SG = No. 225; E_form = 1.1241 eV/atom
1.0
0.0000 3.0579 3.0579
3.0579 0.0000 3.0579
3.0579 3.0579 0.0000
Gd Hf
1 1
direct
0.0000 0.0000 0.0000
0.5000 0.5000 0.5000

---

Entry 17:
NbNi2Ge PBE-GGA optimized geometry; SG = No. 216; final energy = -0.490 Ry/atom
1.0
0.0000 3.0055 3.0055
3.0055 0.0000 3.0055
3.0055 3.0055 0.0000
Nb Ni Ge
1 2 1
direct
0.0000 0.0000 0.0000
0.5000 0.5000 0.5000
0.7500 0.7500 0.7500
0.2500 0.2500 0.2500

---

Entry 18:
In2HgW PBE-GGA optimized geometry; SG = No. 216; final energy = -0.272 Ry/atom
1.0
0.0000 3.5031 3.5031
3.5031 0.0000 3.5031
3.5031 3.5031 0.0000
In Hg W
2 1 1
direct
0.0000 0.0000 0.0000
0.2500 0.2500 0.2500
0.7500 0.7500 0.7500
0.5000 0.5000 0.5000

---

Entry 19:
Cu7Ag3 PBE-GGA optimized geometry; energy above the lowest structure with this stoichiometry = 0.040 eV/atom; SG = No. 6; E_form = 0.0852 eV/atom
1.0
6.5839 0.0000 0.0000
0.0000 2.7290 0.0000
-1.8955 0.0000 7.6666
Cu Ag
7 3
direct
0.0000 0.0000 0.0000
0.0685 0.5000 0.3081
0.2912 0.5000 0.9122
0.5125 0.5000 0.5263
0.5919 0.0000 0.8052
0.7911 0.0000 0.4262
0.8834 0.5000 0.7193
0.1915 0.0000 0.6103
0.3781 0.0000 0.2251
0.6967 0.5000 0.1060

---

Entry 20:
SrPrTh PBE-GGA optimized geometry; energy above the lowest structure with this stoichiometry = 0.000 eV/atom; SG = No. 216
1.0
0.0000 4.0294 4.0294
4.0294 0.0000 4.0294
4.0294 4.0294 0.0000
Sr Pr Th
1 1 1
direct
0.0000 0.0000 0.0000
0.2500 0.2500 0.2500
0.5000 0.5000 0.5000